DFT (PBE-GGA) results for a geometry-optimized SrLiAl2 structure.

Values from the calculation:
SG: F-43m
Energy of formation (kJ/mol of atoms): -6
VASP energy (eV per atom): -2.828
Energy relative to the lowest polymorph listed for this composition (meV/atom): 136.0
M_tot (μB/cell): 0.0
Calculated volume (Å³/cell): 87

Lattice parameters (Å, degrees): 4.9787 4.9787 4.9787 120.06 120.06 89.89
Sites, in units of the cell vectors:
Al1 0.0000 0.0000 0.0000
Al2 0.2500 0.7500 0.5000
Li1 0.5000 0.5000 0.0000
Sr1 0.7500 0.2500 0.5000